Record 1
Below is an optimized crystal structure of MgTa2GaRh, with properties calculated at the GGA-PBE level.

Lattice parameters (Å, degrees): 4.7514 4.4750 4.7514 90.00 90.00 90.00
With the nearest neighbours (Å) after each atom.
Positions (direct):
Ta  0.0000  0.0000  0.5000  2 Ga 2.38
Ta  0.5000  0.0000  0.0000  2 Ga 2.38
Mg  0.0000  0.5000  0.0000  2 Ga 2.24
Ga  0.0000  0.0000  0.0000  2 Mg 2.24, 4 Ta 2.38
Rh  0.5000  0.5000  0.5000  8 Ta 3.26, 4 Mg 3.36

Calculated values
**DFT total energy**: -6.04 eV/atom

Record 2
Below is an optimized crystal structure of CdReRu2, with properties calculated at the GGA-PBE level.

Lattice parameters (Å, degrees): 4.9283 4.9283 4.8075 78.64 78.64 33.10
With the nearest neighbours (Å) after each atom.
Positions (direct):
Ru  0.2651  0.2651  0.2461  4 Re 2.65-2.95, 4 Ru 2.70-2.81, 3 Cd 2.72-2.87
Ru  0.9968  0.9968  0.9775  3 Re 2.64-2.79, 4 Ru 2.70-2.81, 4 Cd 2.76-2.81
Re  0.7345  0.7345  0.7948  7 Ru 2.64-2.95, 2 Re 2.81, 1 Cd 2.90
Cd  0.5035  0.5035  0.4816  7 Ru 2.72-2.87, 2 Cd 2.81, 3 Re 2.90-3.02

Calculated values
**DFT total energy**: -7.60 eV/atom

Record 3
Below is an optimized crystal structure of NaLi4Ge4, with properties calculated at the GGA-PBE level.

Lattice parameters (Å, degrees): 5.9994 5.9994 9.2534 90.00 90.00 90.00
With the nearest neighbours (Å) after each atom.
Positions (direct):
Li  0.2680  0.0000  0.5852  5 Ge 2.63-2.69, 3 Li 2.77-2.78
Li  0.0000  0.7320  0.4148  5 Ge 2.63-2.69, 3 Li 2.77-2.78
Li  0.7320  0.0000  0.5852  5 Ge 2.63-2.69, 3 Li 2.77-2.78
Li  0.5000  0.2320  0.0852  5 Ge 2.63-2.69, 3 Li 2.77-2.78
Li  0.5000  0.7680  0.0852  5 Ge 2.63-2.69, 3 Li 2.77-2.78
Li  0.0000  0.2680  0.4148  5 Ge 2.63-2.69, 3 Li 2.77-2.78
Li  0.7680  0.5000  0.9148  5 Ge 2.63-2.69, 3 Li 2.77-2.78
Li  0.2320  0.5000  0.9148  5 Ge 2.63-2.69, 3 Li 2.77-2.78
Ge  0.5000  0.7931  0.7947  1 Ge 2.48, 5 Li 2.63-2.69
Ge  0.7069  0.0000  0.2947  1 Ge 2.48, 5 Li 2.63-2.69
Ge  0.0000  0.2931  0.7053  1 Ge 2.48, 5 Li 2.63-2.69
Ge  0.2069  0.5000  0.2053  1 Ge 2.48, 5 Li 2.63-2.69
Ge  0.2931  0.0000  0.2947  1 Ge 2.48, 5 Li 2.63-2.69
Ge  0.7931  0.5000  0.2053  1 Ge 2.48, 5 Li 2.63-2.69
Ge  0.0000  0.7069  0.7053  1 Ge 2.48, 5 Li 2.63-2.69
Ge  0.5000  0.2069  0.7947  1 Ge 2.48, 5 Li 2.63-2.69
Na  0.0000  0.0000  0.0000  4 Ge 3.24, 8 Li 3.40
Na  0.5000  0.5000  0.5000  4 Ge 3.24, 8 Li 3.40

Calculated values
**DFT total energy**: -3.22 eV/atom

no.,energy of formation (eV/atom),magnetic moment (μB/f.u.)
1,1.098,0.00
2,0.377,0.00
3,-0.167,0.00